Entry from the Alexandria database: a relaxed La2ZrAl crystal (GGA-PBE).

## Properties
ρ	6.2	g/cm³
energy of formation from the pure elements	0.103	eV/atom
Fermi-level density of states	1.211	states/eV per atom
electronic total energy	-5.434	eV per atom
volume	26.7	Å³ per atom

Geometry as CIF:
```
data_La2ZrAl
_chemical_formula_sum 'La2 Zr1 Al1'
_symmetry_space_group_name_H-M 'P 1 2/m 1'
_symmetry_Int_Tables_number 10
_cell_length_a 3.288
_cell_length_b 5.635
_cell_length_c 5.794
_cell_angle_alpha 90.00
_cell_angle_beta 96.30
_cell_angle_gamma 90.00
loop_
_symmetry_equiv_pos_as_xyz
'x,y,z'
'-x,-y,-z'
'-x,y,-z'
'x,-y,z'
loop_
_atom_site_label
_atom_site_type_symbol
_atom_site_fract_x
_atom_site_fract_y
_atom_site_fract_z
_atom_site_occupancy
La1 La 0.209 0.000 0.262 1
Zr1 Zr 0.500 0.500 0.000 1
Al1 Al 0.000 0.500 0.500 1
```